This record from Alexandria via LeMat-Bulk describes a relaxed structure of NiTe2F. The functional is PBE with a Hubbard U.

Properties
Crystal system ... cubic
Symmetry ... Fm-3m (225)
Polymorph energy (0 for the lowest one) ... 188 meV per atom

Cell: 4.6072 4.6072 4.6072 Å, 60.00 60.00 60.00°
With the nearest neighbours (Å) after each atom.
Sites, in units of the cell vectors:
Ni1 0.0000 0.0000 0.0000  8 Te 2.82
Te1 0.2500 0.2500 0.2500  4 F 2.82, 4 Ni 2.82
Te2 0.7500 0.7500 0.7500  4 F 2.82, 4 Ni 2.82
F1 0.5000 0.5000 0.5000  8 Te 2.82